Record 1
{"formula": "Zr2ScAl3NiAu2", "functional": "PBE-GGA", "state": "optimized geometry", "lattice": [[4.029, 0.000, 0.000], [0.000, 5.837, 3.426], [0.000, -5.837, 3.426]], "species": ["Al", "Al", "Al", "Au", "Au", "Zr", "Zr", "Sc", "Ni"], "fractional_positions": [[0.500, 0.999, 0.236], [0.500, 0.767, 0.767], [0.500, 0.236, 0.999], [0.500, 0.664, 0.335], [0.500, 0.335, 0.664], [0.000, 0.599, 0.000], [0.000, 0.000, 0.599], [0.000, 0.400, 0.400], [0.000, 0.000, 0.000]], "density_g_cm3": 7.8, "spacegroup": "No. 38", "crystal_system": "orthorhombic", "dft_energy_ev_per_cell": -52.89}

=====

Record 2
{"formula": "AlNiSnAu", "functional": "PBE-GGA", "state": "optimized geometry", "lattice": [[0.000, 3.243, 3.243], [3.243, 0.000, 3.243], [3.243, 3.243, 0.000]], "species": ["Sn", "Ni", "Au", "Al"], "fractional_positions": [[0.000, 0.000, 0.000], [0.250, 0.250, 0.250], [0.750, 0.750, 0.750], [0.500, 0.500, 0.500]], "density_g_cm3": 9.8, "relative_energy_ev_per_atom": 0.000, "spacegroup": "No. 216", "crystal_system": "cubic"}

=====

Record 3
{"formula": "AlNiSnAu", "functional": "PBE-GGA", "state": "optimized geometry", "lattice": [[0.000, 3.245, 3.245], [3.245, 0.000, 3.245], [3.245, 3.245, 0.000]], "species": ["Sn", "Al", "Ni", "Au"], "fractional_positions": [[0.250, 0.250, 0.250], [0.000, 0.000, 0.000], [0.500, 0.500, 0.500], [0.750, 0.750, 0.750]], "density_g_cm3": 9.8, "relative_energy_ev_per_atom": 0.076, "spacegroup": "No. 216", "crystal_system": "cubic"}

=====

Record 4
{"formula": "AlTcNiAu", "functional": "PBE-GGA", "state": "optimized geometry", "lattice": [[-3.585, -2.460, -0.212], [-3.373, 1.275, -2.439], [-0.962, -2.134, -3.671]], "species": ["Au", "Tc", "Al", "Ni"], "fractional_positions": [[0.500, 0.500, 0.500], [0.250, 0.250, 0.250], [0.000, 0.000, 0.000], [0.750, 0.750, 0.750]], "density_g_cm3": 10.8, "spacegroup": "No. 216", "crystal_system": "cubic", "dft_energy_ev_per_cell": -22.78}

=====

Record 5
{"formula": "Tm3Al3Ni2Au", "functional": "PBE-GGA", "state": "optimized geometry", "lattice": [[6.968, 0.000, 0.000], [-3.484, 6.034, 0.000], [0.000, 0.000, 3.975]], "species": ["Al", "Al", "Al", "Ni", "Ni", "Tm", "Tm", "Tm", "Au"], "fractional_positions": [[0.255, 0.255, 0.500], [0.745, 0.000, 0.500], [0.000, 0.745, 0.500], [0.333, 0.667, 0.500], [0.667, 0.333, 0.500], [0.000, 0.421, 0.000], [0.579, 0.579, 0.000], [0.421, 0.000, 0.000], [0.000, 0.000, 0.000]], "density_g_cm3": 9.0, "spacegroup": "No. 189", "crystal_system": "hexagonal", "dft_energy_ev_per_cell": -44.88}

=====

Record 6
{"formula": "Y2Al4NiAu", "functional": "PBE-GGA", "state": "optimized geometry", "lattice": [[-6.197, 0.100, -2.987], [-1.501, -4.451, 2.966], [-2.398, -0.790, 4.949]], "species": ["Y", "Y", "Al", "Al", "Al", "Al", "Au", "Ni"], "fractional_positions": [[0.500, 0.933, 0.933], [0.000, 0.072, 0.072], [0.687, 0.643, 0.643], [0.313, 0.643, 0.643], [0.209, 0.355, 0.355], [0.791, 0.355, 0.355], [0.000, 0.789, 0.789], [0.500, 0.210, 0.210]], "density_g_cm3": 6.0, "spacegroup": "No. 38", "crystal_system": "orthorhombic", "dft_energy_ev_per_cell": -41.95}